PBE Cs2RbGeS4, optimized geometry; N(E_F) = 7.49 states/eV/cell; VASP energy = -59.17 eV/cell; total magnetization = 0.00 μB/f.u.
1.0
0.000 5.246 20.219
3.943 0.000 20.219
3.943 5.246 0.000
Cs Rb Ge S
4 2 2 8
Cartesian
2.957 3.934 2.943
4.928 6.557 13.052
2.957 3.934 27.385
4.928 6.557 37.495
0.986 1.311 5.055
6.900 9.180 35.383
2.957 3.934 15.164
4.928 6.557 25.274
4.188 2.692 13.769
4.188 5.176 16.559
6.159 5.315 26.668
1.726 2.692 16.559
6.159 7.799 23.879
1.726 5.176 13.769
3.698 5.315 23.879
3.698 7.799 26.668

PBE ScBe2Re, optimized geometry; N(E_F) = 2.87 states/eV/cell; formation enthalpy at 0 K = 0.007 eV/atom; VASP energy = -26.20 eV/cell; total magnetization = 0.00 μB/f.u.
1.0
0.000 2.953 2.953
2.953 0.000 2.953
2.953 2.953 0.000
Sc Be Re
1 2 1
Cartesian
0.000 0.000 0.000
1.477 1.477 1.477
4.430 4.430 4.430
2.953 2.953 2.953

PBE Li3Ga3Hg2, optimized geometry; N(E_F) = 3.01 states/eV/cell; formation enthalpy at 0 K = -0.222 eV/atom; VASP energy = -17.20 eV/cell; total magnetization = 0.00 μB/f.u.
1.0
7.389 0.000 0.000
-3.695 6.399 0.000
0.000 0.000 3.073
Li Ga Hg
3 3 2
Cartesian
-2.289 3.965 0.000
1.405 2.434 0.000
4.579 0.000 0.000
-0.838 1.451 1.537
1.676 0.000 1.537
2.857 4.948 1.537
0.000 4.266 1.537
3.695 2.133 1.537

PBE GaHgRuS, optimized geometry; N(E_F) = 0.55 states/eV/cell; VASP energy = -17.31 eV/cell; total magnetization = 0.00 μB/f.u.
1.0
2.880 -1.663 0.000
2.880 1.663 0.000
-1.915 0.000 8.165
Ga Hg Ru S
1 1 1 1
Cartesian
0.000 0.000 0.000
3.835 0.000 2.206
0.006 0.000 6.288
3.846 0.000 5.069

PBE Zr2BiPb2, optimized geometry; N(E_F) = 11.24 states/eV/cell; formation enthalpy at 0 K = -0.119 eV/atom; VASP energy = -57.98 eV/cell; total magnetization = 0.00 μB/f.u.
1.0
7.805 0.000 0.000
0.000 7.805 0.000
0.000 0.000 4.316
Zr Bi Pb
4 2 4
Cartesian
1.123 2.780 0.000
2.780 6.682 0.000
5.025 1.123 0.000
6.682 5.025 0.000
0.000 0.000 0.000
3.903 3.903 0.000
1.240 5.143 2.158
2.662 1.240 2.158
5.143 6.565 2.158
6.565 2.662 2.158

PBE SmZn12Ag7, optimized geometry; N(E_F) = 5.58 states/eV/cell; formation enthalpy at 0 K = 0.205 eV/atom; VASP energy = -35.87 eV/cell; total magnetization = 0.00 μB/f.u.
1.0
-4.716 4.716 4.716
4.716 -4.716 4.716
4.716 4.716 -4.716
Sm Zn Ag
1 12 7
Cartesian
0.000 0.000 0.000
4.716 -1.369 2.380
3.347 2.336 0.000
6.085 2.336 0.000
2.380 4.716 -1.369
2.336 0.000 3.347
4.716 1.369 2.380
0.000 3.347 2.336
2.380 4.716 1.369
2.336 0.000 6.085
-1.369 2.380 4.716
1.369 2.380 4.716
0.000 6.085 2.336
2.358 2.358 -2.358
2.358 -2.358 2.358
4.716 0.000 0.000
-2.358 2.358 2.358
0.000 4.716 0.000
0.000 0.000 4.716
2.358 2.358 2.358

- Which of these has the lowest VASP energy?
  Cs2RbGeS4

- What is the formula in the second record?
  ScBe2Re